Record 1
Compound: HoHfCS
Source: the Open Quantum Materials Database
Functional: PBE-GGA
Structure: relaxed

Values from the calculation:
magnetic moment	0.0	Bohr magnetons per cell
offset from the most stable computed form	16	meV/atom

Lattice parameters (Å, degrees): 3.5049 3.5049 12.4978 90.00 90.00 120.00
Closest atoms and distances in Å follow each position.
Space group P-6m2 (No. 187)
Symmetry-distinct sites (fractional):
Ho  0.0000  0.0000  0.1515 [2 per cell]  3 C 2.50, 3 S 2.77
Hf  0.6667  0.3333  0.3567 [2 per cell]  3 C 2.30
C  0.3333  0.6667  0.2693 [2 per cell]  3 Hf 2.30, 3 Ho 2.50
S  0.0000  0.0000  0.5000 [1 per cell]  6 Hf 2.70
S  0.6667  0.3333  0.0000 [1 per cell]  6 Ho 2.77

---

Record 2
Compound: Gd3AsSe2
Source: the Open Quantum Materials Database
Functional: PBE-GGA
Structure: relaxed

Values from the calculation:
magnetic moment	0.0	Bohr magnetons per cell
VASP energy	-36.09	eV for the cell shown

Lattice parameters (Å, degrees): 4.1299 4.1299 10.1004 90.00 90.00 120.00
Closest atoms and distances in Å follow each position.
Space group P-3m1 (No. 164)
Symmetry-distinct sites (fractional):
Gd  0.0000  0.0000  0.0000 [1 per cell]  6 Se 2.92
Gd  0.3333  0.6667  0.3399 [2 per cell]  3 As 2.88, 3 Se 2.96
As  0.0000  0.0000  0.5000 [1 per cell]  6 Gd 2.88
Se  0.3333  0.6667  0.8339 [2 per cell]  6 Gd 2.92-2.96

---

Record 3
Compound: TmThBi
Source: the Open Quantum Materials Database
Functional: PBE-GGA
Structure: relaxed

Values from the calculation:
magnetic moment	0.4	Bohr magnetons per cell
offset from the most stable computed form	0	meV/atom

Lattice parameters (Å, degrees): 7.4068 7.4068 7.4068 90.00 90.00 90.00
Closest atoms and distances in Å follow each position.
Space group F-43m (No. 216)
Symmetry-distinct sites (fractional):
Tm  0.0000  0.0000  0.0000 [4 per cell]  4 Bi 3.21
Th  0.0000  0.0000  0.5000 [4 per cell]  4 Bi 3.21
Bi  0.2500  0.2500  0.7500 [4 per cell]  4 Th 3.21, 4 Tm 3.21

---

Record 4
Compound: Hf2Cd3Cu
Source: the Open Quantum Materials Database
Functional: PBE-GGA
Structure: relaxed

Values from the calculation:
magnetic moment	0.0	Bohr magnetons per cell
VASP energy	-25.46	eV for the cell shown

Lattice parameters (Å, degrees): 3.3980 3.3980 9.7986 90.00 90.00 90.00
Closest atoms and distances in Å follow each position.
Space group P4mm (No. 99)
Symmetry-distinct sites (fractional):
Hf  0.0000  0.0000  0.0000 [1 per cell]  8 Cd 2.94-3.02, 1 Cu 3.13
Hf  0.5000  0.5000  0.4636 [1 per cell]  4 Cu 2.79, 5 Cd 2.85-3.00
Cd  0.0000  0.0000  0.6468 [1 per cell]  4 Cd 2.90, 4 Hf 3.00, 1 Cu 3.21
Cd  0.5000  0.5000  0.1724 [1 per cell]  4 Cu 2.80, 5 Hf 2.85-2.94
Cd  0.5000  0.5000  0.8134 [1 per cell]  4 Cd 2.90, 4 Hf 3.02
Cu  0.0000  0.0000  0.3195 [1 per cell]  4 Hf 2.79, 4 Cd 2.80

---

| no. | V (A^3/atom) |
| --- | --- |
| 1 | 16.6 |
| 2 | 24.9 |
| 3 | 33.9 |
| 4 | 18.9 |